*1*
This record from Alexandria describes crystalline BOs2C at its relaxed geometry. The functional is PBE. Values from VASP.

Computed properties:
**Fermi-level density of states**: 0.41 states/eV/atom
**Calculated density**: 16.78 g/cm3
**Space-group type**: Fm-3m (225)

Quantum ESPRESSO input file:
```
&SYSTEM
  ibrav = 0, nat = 4, ntyp = 3
/
ATOMIC_SPECIES
B 10.81 B.upf
Os 190.23 Os.upf
C 12.01 C.upf
CELL_PARAMETERS angstrom
0.0000 2.7126 2.7126
2.7126 0.0000 2.7126
2.7126 2.7126 0.0000
ATOMIC_POSITIONS crystal
B 0.0000 0.0000 0.0000
Os 0.2500 0.2500 0.2500
Os 0.7500 0.7500 0.7500
C 0.5000 0.5000 0.5000
```

*2*
This record from Alexandria describes crystalline BOs2C at its relaxed geometry. The functional is PBE. Values from VASP.

Computed properties:
**Fermi-level density of states**: 1.33 states/eV/atom
**Calculated density**: 13.21 g/cm3
**Space-group type**: I-42d (122)

Quantum ESPRESSO input file:
```
&SYSTEM
  ibrav = 0, nat = 8, ntyp = 3
/
ATOMIC_SPECIES
B 10.81 B.upf
Os 190.23 Os.upf
C 12.01 C.upf
CELL_PARAMETERS angstrom
-2.2656 2.2656 4.9375
2.2656 -2.2656 4.9375
2.2656 2.2656 -4.9375
ATOMIC_POSITIONS crystal
B 0.0000 0.0000 0.0000
B 0.7500 0.2500 0.5000
Os 0.1390 0.6250 0.0140
Os 0.3750 0.3890 0.5140
Os 0.6110 0.1250 0.9860
Os 0.8750 0.8610 0.4860
C 0.2500 0.7500 0.5000
C 0.5000 0.5000 0.0000
```

In terms of stability, *2* leads; the second structure lies 213 meV/atom higher.

*1*
This record from Alexandria describes crystalline BPC3 at its relaxed geometry. The functional is PBE. Values from VASP.

Computed properties:
**Fermi-level density of states**: 0.25 states/eV/atom
**Calculated density**: 2.94 g/cm3
**Space-group type**: P1 (1)

Quantum ESPRESSO input file:
```
&SYSTEM
  ibrav = 0, nat = 5, ntyp = 3
/
ATOMIC_SPECIES
B 10.81 B.upf
P 30.97 P.upf
C 12.01 C.upf
CELL_PARAMETERS angstrom
2.9179 0.0000 0.0000
0.5109 2.9288 0.0000
1.2302 0.1345 5.1370
ATOMIC_POSITIONS crystal
B 0.0000 0.0000 0.0000
P 0.8206 0.6338 0.5752
C 0.3897 0.6709 0.3879
C 0.4676 0.8129 0.1149
C 0.8519 0.5346 0.9063
```

*2*
This record from Alexandria describes crystalline BPC3 at its relaxed geometry. The functional is PBE. Values from VASP.

Computed properties:
**Fermi-level density of states**: 0.04 states/eV/atom
**Calculated density**: 1.74 g/cm3
**Space-group type**: Cm (8)

Quantum ESPRESSO input file:
```
&SYSTEM
  ibrav = 0, nat = 5, ntyp = 3
/
ATOMIC_SPECIES
B 10.81 B.upf
P 30.97 P.upf
C 12.01 C.upf
CELL_PARAMETERS angstrom
5.5952 -1.2675 0.0000
5.5952 1.2675 0.0000
-3.3639 0.0000 5.2330
ATOMIC_POSITIONS crystal
B 0.0000 0.0000 0.0000
P 0.5970 0.5970 0.7205
C 0.0015 0.0015 0.2541
C 0.5145 0.5145 0.8902
C 0.5158 0.5158 0.3757
```

In terms of stability, *2* leads; the second structure lies 274 meV/atom higher.

*1*
This record from Alexandria describes crystalline BPC3 at its relaxed geometry. The functional is PBE. Values from VASP.

Computed properties:
**Fermi-level density of states**: 0.38 states/eV/atom
**Calculated density**: 2.81 g/cm3
**Space-group type**: Pm-3m (221)

Quantum ESPRESSO input file:
```
&SYSTEM
  ibrav = 0, nat = 5, ntyp = 3
/
ATOMIC_SPECIES
B 10.81 B.upf
P 30.97 P.upf
C 12.01 C.upf
CELL_PARAMETERS angstrom
3.5825 0.0000 0.0000
0.0000 3.5825 0.0000
0.0000 0.0000 3.5825
ATOMIC_POSITIONS crystal
B 0.0000 0.0000 0.0000
P 0.5000 0.5000 0.5000
C 0.0000 0.5000 0.5000
C 0.5000 0.0000 0.5000
C 0.5000 0.5000 0.0000
```

*2*
This record from Alexandria describes crystalline BPC3 at its relaxed geometry. The functional is PBE. Values from VASP.

Computed properties:
**Fermi-level density of states**: 0.53 states/eV/atom
**Calculated density**: 3.06 g/cm3
**Space-group type**: Pm-3m (221)

Quantum ESPRESSO input file:
```
&SYSTEM
  ibrav = 0, nat = 5, ntyp = 3
/
ATOMIC_SPECIES
B 10.81 B.upf
P 30.97 P.upf
C 12.01 C.upf
CELL_PARAMETERS angstrom
3.4836 0.0000 0.0000
0.0000 3.4836 0.0000
0.0000 0.0000 3.4836
ATOMIC_POSITIONS crystal
B 0.0000 0.0000 0.0000
P 0.5000 0.5000 0.5000
C 0.0000 0.0000 0.5000
C 0.0000 0.5000 0.0000
C 0.5000 0.0000 0.0000
```

*3*
This record from Alexandria describes crystalline BPC3 at its relaxed geometry. The functional is PBE. Values from VASP.

Computed properties:
**Fermi-level density of states**: 0.05 states/eV/atom
**Calculated density**: 1.99 g/cm3
**Space-group type**: Cm (8)

Quantum ESPRESSO input file:
```
&SYSTEM
  ibrav = 0, nat = 5, ntyp = 3
/
ATOMIC_SPECIES
B 10.81 B.upf
P 30.97 P.upf
C 12.01 C.upf
CELL_PARAMETERS angstrom
5.9399 -1.2674 0.0000
5.9399 1.2674 0.0000
-1.5322 0.0000 4.3063
ATOMIC_POSITIONS crystal
B 0.0000 0.0000 0.0000
P 0.6766 0.6766 0.0457
C 0.4963 0.4963 0.4894
C 0.5108 0.5108 0.8233
C 0.9933 0.9933 0.3334
```

*4*
This record from Alexandria describes crystalline BPC3 at its relaxed geometry. The functional is PBE. Values from VASP.

Computed properties:
**Fermi-level density of states**: 0.20 states/eV/atom
**Calculated density**: 3.14 g/cm3
**Space-group type**: P1 (1)

Quantum ESPRESSO input file:
```
&SYSTEM
  ibrav = 0, nat = 5, ntyp = 3
/
ATOMIC_SPECIES
B 10.81 B.upf
P 30.97 P.upf
C 12.01 C.upf
CELL_PARAMETERS angstrom
2.6742 0.0000 0.0000
0.4825 2.7098 0.0000
0.2216 0.3531 5.6743
ATOMIC_POSITIONS crystal
B 0.0000 0.0000 0.0000
P 0.4485 0.4493 0.6083
C 0.0567 0.0296 0.7224
C 0.4675 0.4640 0.2957
C 0.9732 0.4825 0.1567
```

In terms of stability, *3* leads; the second structure lies 348 meV/atom higher.

*1*
This record from Alexandria describes crystalline BPC3 at its relaxed geometry. The functional is PBE. Values from VASP.

Computed properties:
**Fermi-level density of states**: 0.28 states/eV/atom
**Calculated density**: 2.38 g/cm3
**Space-group type**: Pm (6)

Quantum ESPRESSO input file:
```
&SYSTEM
  ibrav = 0, nat = 5, ntyp = 3
/
ATOMIC_SPECIES
B 10.81 B.upf
P 30.97 P.upf
C 12.01 C.upf
CELL_PARAMETERS angstrom
4.5242 0.0000 0.0000
0.0000 2.6036 0.0000
-0.6741 0.0000 4.6182
ATOMIC_POSITIONS crystal
B 0.0000 0.0000 0.0000
P 0.1102 0.0000 0.5828
C 0.3563 0.0000 0.9543
C 0.5209 0.5000 0.9946
C 0.8312 0.5000 0.0174
```

*2*
This record from Alexandria describes crystalline BPC3 at its relaxed geometry. The functional is PBE. Values from VASP.

Computed properties:
**Fermi-level density of states**: 0.11 states/eV/atom
**Calculated density**: 2.81 g/cm3
**Space-group type**: Amm2 (38)

Quantum ESPRESSO input file:
```
&SYSTEM
  ibrav = 0, nat = 5, ntyp = 3
/
ATOMIC_SPECIES
B 10.81 B.upf
P 30.97 P.upf
C 12.01 C.upf
CELL_PARAMETERS angstrom
2.5607 0.0000 0.0000
0.0000 1.4905 6.0204
0.0000 -1.4905 6.0204
ATOMIC_POSITIONS crystal
B 0.0000 0.0000 0.0000
P 0.5000 0.3344 0.3344
C 0.0000 0.1277 0.1277
C 0.5000 0.1840 0.1840
C 0.5000 0.9286 0.9286
```

In terms of stability, *2* leads; the second structure lies 89 meV/atom higher.